Entry 1:
# Ba2AcAl

A relaxed structure of Ba2AcAl (GGA-PBE, the Alexandria database).

abc: 4.080 4.080 10.487
angles: 90.00 90.00 90.00
Space group P4/mmm (No. 123)
Symmetry-distinct sites (fractional):
Ba 0.000 0.000 0.194 x2
Ac 0.500 0.500 0.500 x1
Al 0.500 0.500 0.000 x1

Computed properties:
Formation enthalpy at 0 K (meV/atom): 54.0



Entry 2:
# BaAcAl2

A relaxed structure of BaAcAl2 (GGA-PBE, the Alexandria database).

abc: 4.0660 4.0660 30.4706
angles: 90.00 90.00 120.00
Space group R-3m (No. 166, hexagonal axes)
Symmetry-distinct sites (fractional):
Ba 0.0000 0.0000 0.0000 x3
Ac 0.0000 0.0000 0.5000 x3
Al 0.0000 0.0000 0.2467 x6

Computed properties:
Energy above the lowest structure with this stoichiometry (meV/atom): 307
Formation enthalpy at 0 K (meV/atom): 140.2